Entry 1:
The following is a PBE calculation of Na2YHfCr after structural relaxation, from the Alexandria database.

Lattice parameters (Å, degrees): 5.7626 5.4386 5.7626 90.00 90.00 90.00
Each line ends with the local moment (μB).
Atoms (fractional coordinates):
Y (0.0000, 0.5000, 0.0000)  0.09
Cr (0.5000, 0.5000, 0.5000)  -4.21
Hf (0.0000, 0.0000, 0.0000)  0.39
Na (0.0000, 0.0000, 0.5000)  0.02
Na (0.5000, 0.0000, 0.0000)  0.03

For the total energy, the calculation gives -4.133 eV per atom. The calculation puts the formation energy from the elements at 1.602 eV per atom. Its crystal system is tetragonal.


Entry 2:
The following is a PBE calculation of Nb2Ga3Ni5H2 after structural relaxation, from the Alexandria database.

Lattice parameters (Å, degrees): 3.6644 3.6644 10.5741 99.98 99.98 90.00
Atoms (fractional coordinates):
Nb (0.7024, 0.7024, 0.4048)
Nb (0.2976, 0.2976, 0.5952)
Ga (0.1679, 0.1679, 0.3358)
Ga (0.8321, 0.8321, 0.6642)
Ga (0.0000, 0.0000, 0.0000)
Ni (0.5882, 0.0882, 0.1764)
Ni (0.4118, 0.9118, 0.8236)
Ni (0.0882, 0.5882, 0.1764)
Ni (0.9118, 0.4118, 0.8236)
Ni (0.5000, 0.5000, 0.0000)
H (0.4124, 0.4124, 0.8249)
H (0.5876, 0.5876, 0.1751)

For the total energy, the calculation gives -5.717 eV per atom. Its crystal system is tetragonal.


Short version: spin magnetization = 4.09, 0.00 Bohr magnetons per cell, in the order given.